[1]
A relaxed structure of Sm7HgIr4, computed with PBE-GGA.

POSCAR file:
```
Sm7HgIr4
1.0
6.949 -2.771 0.000
6.949 2.771 0.000
-5.824 0.000 8.069
Sm Hg Ir
7 1 4
Cartesian
0.000 0.000 0.000
-1.214 0.000 4.972
3.290 0.000 1.014
2.157 0.000 5.143
5.917 0.000 2.926
4.784 0.000 7.055
9.289 0.000 3.097
6.949 0.000 0.000
-3.591 0.000 6.292
0.883 0.000 2.736
7.192 0.000 5.333
11.665 0.000 1.777
```

DFT total energy (eV per atom): -6.159
Calculated density (g/cm³): 10.80

---

[2]
A relaxed structure of HoWN, computed with PBE-GGA.

POSCAR file:
```
HoWN
1.0
3.098 0.000 0.000
-1.549 2.683 0.000
0.000 0.000 11.093
Ho W N
2 2 2
Cartesian
0.000 0.000 1.514
0.000 0.000 9.579
1.549 0.894 4.209
1.549 0.894 6.883
0.000 0.000 5.546
1.549 0.894 0.000
```

DFT total energy (eV per atom): -8.722
E_form (uncorrected) (eV per atom): -0.1035
Calculated density (g/cm³): 13.07

---

[3]
A relaxed structure of CeThPd4, computed with PBE-GGA.

POSCAR file:
```
CeThPd4
1.0
0.000 3.895 3.895
3.895 0.000 3.895
3.895 3.895 0.000
Ce Th Pd
1 1 4
Cartesian
0.000 0.000 0.000
1.947 1.947 1.947
4.868 2.921 2.921
2.921 4.868 2.921
2.921 2.921 4.868
4.868 4.868 4.868
```

Excess energy over the best structure of this formula in the dataset (eV per formula unit): 0.146
DFT total energy (eV per atom): -6.381
Calculated density (g/cm³): 11.21

---

[4]
A relaxed structure of BeNiSe2, computed with PBE-GGA.

POSCAR file:
```
BeNiSe2
1.0
3.305 0.000 0.000
0.000 3.309 0.000
0.000 0.000 8.394
Be Ni Se
1 1 2
Cartesian
0.000 0.000 0.000
0.000 1.655 4.197
1.652 0.000 4.197
1.652 1.655 0.000
```

DFT total energy (eV per atom): -3.995
E_form (uncorrected) (eV per atom): 0.1241
Calculated density (g/cm³): 4.08

---

[5]
A relaxed structure of NdThSe4, computed with PBE-GGA.

POSCAR file:
```
NdThSe4
1.0
7.082 0.000 0.000
0.000 7.195 0.000
-0.264 0.000 7.258
Nd Th Se
2 2 8
Cartesian
0.000 0.000 0.000
-0.132 3.597 3.629
3.409 0.000 3.629
3.541 3.597 0.000
0.722 0.895 4.514
0.855 2.703 0.885
2.396 4.680 4.750
2.528 6.112 1.121
4.289 1.083 6.137
4.421 2.515 2.508
5.963 4.492 6.373
6.095 6.300 2.744
```

DFT total energy (eV per atom): -5.762
E_form (uncorrected) (eV per atom): -1.4080
Calculated density (g/cm³): 6.22

---

[6]
A relaxed structure of Pm3Pr8Y, computed with PBE-GGA.

POSCAR file:
```
Pm3Pr8Y
1.0
6.379 0.000 0.000
1.048 6.320 0.000
0.025 3.233 10.577
Pm Pr Y
3 8 1
Cartesian
0.000 0.000 0.000
2.121 3.963 2.651
5.332 5.590 7.926
1.059 7.398 3.527
6.393 2.156 7.050
2.139 6.125 9.698
2.143 5.048 6.161
4.236 6.861 1.775
3.217 2.693 8.802
5.310 4.506 4.416
5.314 3.429 0.880
3.202 1.617 5.289
```

DFT total energy (eV per atom): -4.902
Calculated density (g/cm³): 6.43

---

The lowest DFT total energy belongs to which entry?
HoWN

---

The lowest calculated density belongs to which entry?
BeNiSe2